Arrangement one

Crystalline MnCdIr3 at its relaxed geometry, computed with PBE.

abc: 4.841 4.841 4.841
angles: 90.00 90.00 90.00
Each line ends with the local moment (μB).
Fractional coordinates of all 5 atoms:
Ir1 0.000 0.000 0.500  -0.99
Ir2 0.500 0.000 0.000  -0.42
Cd1 0.000 0.000 0.000  -0.02
Mn1 0.500 0.500 0.500  4.41
Ir3 0.000 0.500 0.000  -0.79

Density = 10.89 g/cm3
Fermi-level density of states = 6.96 states/eV/f.u.
Size of the total moment = 2.48 μB/cell
Space group = Pm-3m (221)

***

Arrangement two

Crystalline MnCdIr3 at its relaxed geometry, computed with PBE.

abc: 4.502 4.502 4.502
angles: 90.00 90.00 90.00
Fractional coordinates of all 5 atoms:
Ir1 0.000 0.500 0.000
Cd1 0.500 0.500 0.500
Ir2 0.500 0.000 0.000
Mn1 0.000 0.000 0.000
Ir3 0.000 0.000 0.500

Density = 13.54 g/cm3
Fermi-level density of states = 5.66 states/eV/f.u.
Size of the total moment = 0.00 μB/cell
Space group = Pm-3m (221)

***

Which one is most stable, and which one is least stable? arrangement two is the most stable of them, while arrangement one is the least stable.

***

Arrangement one

Crystalline CdTeMo2Ir at its relaxed geometry, computed with PBE.

abc: 8.877 3.014 9.706
angles: 90.00 122.82 90.00
Fractional coordinates of all 10 atoms:
Ir1 0.269 0.500 0.712
Cd1 0.414 0.000 0.556
Te1 0.733 0.500 0.997
Mo1 0.030 0.500 0.973
Mo2 0.069 0.500 0.292
Ir2 0.269 0.000 0.212
Mo3 0.069 0.000 0.792
Cd2 0.414 0.500 0.056
Mo4 0.030 0.000 0.473
Te2 0.733 0.000 0.497

Density = 9.50 g/cm3
Fermi-level density of states = 2.24 states/eV/f.u.
Size of the total moment = 0.00 μB/cell
Space group = Cm (8)

***

Arrangement two

Crystalline CdTeMo2Ir at its relaxed geometry, computed with PBE.

abc: 7.832 3.074 9.667
angles: 90.00 118.68 90.00
Fractional coordinates of all 10 atoms:
Mo1 0.759 0.500 0.590
Cd1 0.553 0.500 0.796
Ir1 0.888 0.500 0.353
Cd2 0.553 0.000 0.296
Te1 0.268 0.500 0.449
Mo2 0.759 0.000 0.090
Ir2 0.888 0.000 0.853
Mo3 0.017 0.500 0.123
Mo4 0.017 0.000 0.623
Te2 0.268 0.000 0.949

Density = 10.15 g/cm3
Fermi-level density of states = 2.34 states/eV/f.u.
Size of the total moment = 0.00 μB/cell
Space group = Cm (8)

***

Arrangement three

Crystalline CdTeMo2Ir at its relaxed geometry, computed with PBE.

abc: 3.092 5.443 6.860
angles: 103.58 90.02 106.51
Fractional coordinates of all 5 atoms:
Cd1 0.569 0.442 0.664
Ir1 0.042 0.388 0.018
Te1 0.730 0.763 0.247
Mo1 0.835 0.974 0.657
Mo2 0.322 0.948 0.929

Density = 9.66 g/cm3
Fermi-level density of states = 2.91 states/eV/f.u.
Size of the total moment = 0.00 μB/cell
Space group = Cm (8)

***

Which one is most stable, and which one is least stable? arrangement two is the most stable of them, while arrangement three is the least stable.

***

Arrangement one

Crystalline CdIr2N at its relaxed geometry, computed with PBE.

abc: 4.342 4.342 4.342
angles: 60.00 60.00 60.00
Fractional coordinates of all 4 atoms:
Cd1 0.500 0.500 0.500
Ir1 0.750 0.750 0.750
Ir2 0.250 0.250 0.250
N1 0.000 0.000 0.000

Density = 14.66 g/cm3
Fermi-level density of states = 4.18 states/eV/f.u.
Size of the total moment = 0.00 μB/cell
Space group = Fm-3m (225)

***

Arrangement two

Crystalline CdIr2N at its relaxed geometry, computed with PBE.

abc: 6.469 6.469 5.476
angles: 53.79 53.79 90.00
Fractional coordinates of all 8 atoms:
Ir1 0.875 0.743 0.750
Cd1 0.750 0.250 0.500
N1 0.250 0.750 0.500
Ir2 0.257 0.625 0.250
N2 0.500 0.500 0.000
Ir3 0.493 0.125 0.250
Cd2 0.000 0.000 0.000
Ir4 0.375 0.507 0.750

Density = 13.47 g/cm3
Fermi-level density of states = 1.67 states/eV/f.u.
Size of the total moment = 0.00 μB/cell
Space group = I-42d (122)

***

Which one is most stable, and which one is least stable? arrangement two is the most stable of them, while arrangement one is the least stable.

***

Arrangement one

Crystalline CdIrS2N at its relaxed geometry, computed with PBE.

abc: 4.957 4.957 3.660
angles: 90.00 90.00 90.00
Fractional coordinates of all 5 atoms:
S1 0.000 0.500 0.000
Ir1 0.000 0.000 0.000
Cd1 0.500 0.500 0.500
N1 0.000 0.000 0.500
S2 0.500 0.000 0.000

Density = 7.07 g/cm3
Fermi-level density of states = 3.27 states/eV/f.u.
Size of the total moment = 0.00 μB/cell
Space group = P4/mmm (123)

***

Arrangement two

Crystalline CdIrS2N at its relaxed geometry, computed with PBE.

abc: 4.954 4.954 3.982
angles: 90.00 90.00 90.00
Each line ends with the local moment (μB).
Fractional coordinates of all 5 atoms:
S1 0.500 0.000 0.000  0.09
S2 0.000 0.500 0.000  0.09
N1 0.000 0.000 0.500  1.11
Cd1 0.000 0.000 0.000  0.03
Ir1 0.500 0.500 0.500  0.17

Density = 6.50 g/cm3
Fermi-level density of states = 4.46 states/eV/f.u.
Size of the total moment = 2.03 μB/cell
Space group = P4/mmm (123)

***

Which one is most stable, and which one is least stable? arrangement one is the most stable of them, while arrangement two is the least stable.